A plane-wave DFT calculation with GGA-PBE was carried out for an optimized crystal structure of Pu3AuN.

Output
DOS(E_F) in states/eV/f.u.: 19.73
Formation energy (no corrections) in eV per formula unit: -2.762

a b c (Å): 4.7915 4.7915 4.7915
angles (deg): 90.00 90.00 90.00
Atoms (fractional coordinates):
Pu1 0.0000 0.0000 0.5000
Pu2 0.0000 0.5000 0.0000
Pu3 0.5000 0.0000 0.0000
Au1 0.5000 0.5000 0.5000
N1 0.0000 0.0000 0.0000

---

A plane-wave DFT calculation with GGA-PBE was carried out for an optimized crystal structure of Pr2SmTm9.

Output
Calculated formation energy in eV per atom: 0.075
DOS(E_F) in states/eV/f.u.: 19.00
Relative energy among the computed polymorphs in meV per atom: 45

a b c (Å): 11.1948 11.1948 3.4950
angles (deg): 90.00 90.00 120.00
Atoms (fractional coordinates):
Pr1 0.3333 0.6667 0.0000
Pr2 0.6667 0.3333 0.0000
Sm1 0.0000 0.0000 0.0000
Tm1 0.0000 0.5000 0.0000
Tm2 0.1750 0.3500 0.5000
Tm3 0.1750 0.8250 0.5000
Tm4 0.3500 0.1750 0.5000
Tm5 0.5000 0.0000 0.0000
Tm6 0.5000 0.5000 0.0000
Tm7 0.6500 0.8250 0.5000
Tm8 0.8250 0.1750 0.5000
Tm9 0.8250 0.6500 0.5000

---

A plane-wave DFT calculation with GGA-PBE was carried out for an optimized crystal structure of Dy3Al2Pd3.

Output
Calculated formation energy in eV per atom: -0.807
DOS(E_F) in states/eV/f.u.: 4.35

a b c (Å): 8.2145 8.2145 5.5861
angles (deg): 90.00 90.00 120.00
Atoms (fractional coordinates):
Dy1 0.0000 0.2629 0.2500
Dy2 0.0000 0.7371 0.7500
Dy3 0.2629 0.0000 0.2500
Dy4 0.2629 0.2629 0.7500
Dy5 0.7371 0.0000 0.7500
Dy6 0.7371 0.7371 0.2500
Al1 0.3333 0.6667 0.0000
Al2 0.3333 0.6667 0.5000
Al3 0.6667 0.3333 0.0000
Al4 0.6667 0.3333 0.5000
Pd1 0.0000 0.4035 0.7500
Pd2 0.0000 0.5965 0.2500
Pd3 0.4035 0.0000 0.7500
Pd4 0.4035 0.4035 0.2500
Pd5 0.5965 0.0000 0.2500
Pd6 0.5965 0.5965 0.7500